# SrLiTaAl2

Crystalline SrLiTaAl2 at its relaxed geometry (PBE-GGA, Alexandria).

Lattice parameters (Å, degrees): 5.123 5.123 5.213 90.00 90.00 90.00
Space group P4/mmm (No. 123)
Symmetry-distinct sites (fractional):
Sr (0.000, 0.000, 0.000) (multiplicity 1)
Li (0.500, 0.500, 0.000) (multiplicity 1)
Ta (0.500, 0.500, 0.500) (multiplicity 1)
Al (0.000, 0.500, 0.500) (multiplicity 2)

## Properties
- Spin magnetization: 1.8 Bohr magnetons per cell
- Calculated volume: 137 Å³/cell
- Relative energy among the computed polymorphs: 0 meV/atom